[1]
Below is GaBrO after structural relaxation, with properties calculated at the PBE level.

extended XYZ file:
```
6
Lattice="-0.807 2.310 -2.531 1.305 -4.963 -4.944 -5.278 -1.387 2.865" Properties=species:S:1:pos:R:3 pbc="T T T"
Ga -1.442 -1.280 -3.157
Ga -3.338 -2.760 -1.454
Br -0.316 -2.678 -4.791
Br -4.464 -1.361 0.181
O -1.457 -2.063 -1.418
O -3.324 -1.977 -3.193
```

Computed properties:
The value obtained for the uncorrected formation energy is -1.270 eV per atom. The space group is C2/m (12).



[2]
Below is CaCdPd after structural relaxation, with properties calculated at the PBE level.

extended XYZ file:
```
3
Lattice="-3.105 -0.826 1.652 -0.985 -1.994 -2.848 4.259 -2.693 2.705" Properties=species:S:1:pos:R:3 pbc="T T T"
Ca -1.572 -2.287 -0.147
Pd -0.110 -4.997 1.244
Cd 1.355 -2.512 1.290
```

Computed properties:
The value obtained for the energy of formation is -0.476 eV per atom. The space group is I4mm (107).